MnFe2P | GGA-PBE | relaxed

- DOS at the Fermi energy: 1.149 states/eV per atom
- ΔH_f (0 K): -53 meV per atom
- Crystal system: monoclinic
- Theoretical density: 7.48 g cm⁻³

Lattice parameters (Å, degrees): 4.485 2.577 7.597 90.00 92.06 90.00
Each line ends with the local moment (μB).
Atoms (fractional coordinates):
Mn (0.000, 0.000, 0.000)  1.30
Mn (0.000, 0.500, 0.500)  1.30
Fe (0.258, 0.000, 0.274)  -0.12
Fe (0.742, 0.000, 0.726)  -0.12
Fe (0.258, 0.500, 0.774)  -0.12
Fe (0.742, 0.500, 0.226)  -0.12
P (0.500, 0.500, 0.500)  -0.02
P (0.500, 0.000, 0.000)  -0.02